Version A
A plane-wave DFT calculation with PBE was carried out for a relaxed AlInP2 crystal.

```
4
Lattice="0.0000 3.3306 3.3306 3.3306 0.0000 3.3306 3.3306 3.3306 0.0000" Properties=species:S:1:pos:R:3 pbc="T T T"
Al 0.0000 0.0000 0.0000
In 1.6653 1.6653 1.6653
P 3.3306 3.3306 3.3306
P 4.9959 4.9959 4.9959
```

Properties
ρ   4.579 Mg/m³

---

Version B
A plane-wave DFT calculation with PBE was carried out for a relaxed AlInP2 crystal.

```
4
Lattice="3.3828 0.0000 0.0000 0.0000 3.3828 0.0000 0.0000 0.0000 6.8439" Properties=species:S:1:pos:R:3 pbc="T T T"
Al 0.0000 0.0000 0.0000
In 1.6914 1.6914 1.8505
P 0.0000 0.0000 4.4225
P 1.6914 1.6914 4.8902
```

Properties
ρ   4.320 Mg/m³

---

version B wins, 257 meV/atom ahead of the next structure.

---

Version A
A plane-wave DFT calculation with PBE was carried out for a relaxed AlInP2 crystal.

```
4
Lattice="1.7614 1.0170 7.0468 -1.7614 1.0170 7.0468 0.0000 -2.0339 7.0468" Properties=species:S:1:pos:R:3 pbc="T T T"
Al 0.0000 0.0000 0.0000
In 0.0000 0.0000 4.8861
P 0.0000 0.0000 9.9415
P 0.0000 0.0000 15.6264
```

Properties
ρ   4.467 Mg/m³

---

Version B
A plane-wave DFT calculation with PBE was carried out for a relaxed AlInP2 crystal.

```
4
Lattice="1.8608 -2.8350 0.0000 1.8608 2.8350 0.0000 0.0000 0.0000 7.3843" Properties=species:S:1:pos:R:3 pbc="T T T"
Al 0.0000 0.0000 0.0000
In 0.0000 0.0000 3.6922
P 1.8608 0.0000 1.5554
P 1.8608 0.0000 5.8289
```

Properties
ρ   4.343 Mg/m³

---

version A wins, 79 meV/atom ahead of the next structure.

---

Version A
A plane-wave DFT calculation with PBE was carried out for a relaxed Al2InP crystal.

```
4
Lattice="1.8246 1.0535 7.2159 -1.8246 1.0535 7.2159 0.0000 -2.1069 7.2159" Properties=species:S:1:pos:R:3 pbc="T T T"
Al 0.0000 0.0000 0.0000
Al 0.0000 0.0000 5.2461
In 0.0000 0.0000 10.3004
P 0.0000 0.0000 15.6016
```

Properties
ρ   3.986 Mg/m³

---

Version B
A plane-wave DFT calculation with PBE was carried out for a relaxed Al2InP crystal.

```
4
Lattice="2.9180 0.0000 0.0000 0.0000 3.7101 0.0000 0.0000 0.0000 7.2532" Properties=species:S:1:pos:R:3 pbc="T T T"
Al 0.0000 0.0000 0.0000
Al 1.4590 1.8550 1.5710
In 1.4590 1.8550 5.2393
P 1.4590 0.0000 3.1385
```

Properties
ρ   4.224 Mg/m³

---

Version C
A plane-wave DFT calculation with PBE was carried out for a relaxed Al2InP crystal.

```
4
Lattice="3.2453 0.0000 0.0000 0.0000 3.2410 0.0000 -0.0058 0.0000 7.1477" Properties=species:S:1:pos:R:3 pbc="T T T"
Al 0.0069 0.0000 2.2217
Al 3.2327 0.0000 4.9261
In 1.6227 1.6205 0.0000
P 1.6198 1.6205 3.5739
```

Properties
ρ   4.412 Mg/m³

---

version A wins, 47 meV/atom ahead of the next structure.